This record from the Alexandria database describes BeInNi after structural relaxation. The functional is PBE.

Cell and atoms, written as extended XYZ:
```
3
Lattice="3.9969 0.0000 0.0000 -1.9985 3.4615 0.0000 0.0000 0.0000 2.9502" Properties=species:S:1:pos:R:3 pbc="T T T"
Be 0.0000 0.0000 0.0000
In 1.9985 1.1538 1.4751
Ni 0.0000 2.3076 0.0000
```

Space-group type: P-6m2 (187)
Uncorrected energy in eV/atom: -4.0072
DFT formation energy in eV per atom: 0.075
Energy above the most stable polymorph in this dataset in eV per formula unit: 0.26



This record from the Alexandria database describes TlNi2S3 after structural relaxation. The functional is PBE.

Cell and atoms, written as extended XYZ:
```
12
Lattice="3.3461 1.9319 6.2466 -3.3461 1.9319 6.2466 0.0000 -3.8637 6.2466" Properties=species:S:1:pos:R:3 pbc="T T T"
Tl 0.0000 0.0000 3.8674
Tl 0.0000 0.0000 14.8725
Ni 0.0000 0.0000 0.0000
Ni -1.6730 -0.9659 6.2466
Ni -1.6730 0.9659 12.4933
Ni 0.0000 1.9319 6.2466
S 0.0000 -1.8858 7.3548
S -1.6331 0.9429 7.3548
S -1.6331 -0.9429 11.3851
S 1.6331 0.9429 7.3548
S 1.6331 -0.9429 11.3851
S 0.0000 1.8858 11.3851
```

Space-group type: R-3m (166)
Uncorrected energy in eV/atom: -4.7614
Formation energy (no corrections) in eV per atom: -0.38



This record from the Alexandria database describes Tc2Sb after structural relaxation. The functional is PBE.

Cell and atoms, written as extended XYZ:
```
3
Lattice="-1.5080 1.5080 5.5071 1.5080 -1.5080 5.5071 1.5080 1.5080 -5.5071" Properties=species:S:1:pos:R:3 pbc="T T T"
Tc 0.0000 0.0000 1.9570
Tc 0.0000 0.0000 9.0571
Sb 0.0000 0.0000 5.5071
```

Space-group type: I4/mmm (139)
Uncorrected energy in eV/atom: -8.0995
Formation energy (no corrections) in eV per atom: 0.19
Energy above the most stable polymorph in this dataset in eV per formula unit: 0.24



This record from the Alexandria database describes SrMo2Os after structural relaxation. The functional is PBE.

Cell and atoms, written as extended XYZ:
```
4
Lattice="0.0000 3.2760 3.2760 3.2760 0.0000 3.2760 3.2760 3.2760 0.0000" Properties=species:S:1:pos:R:3 pbc="T T T"
Sr 0.0000 0.0000 0.0000
Mo 1.6380 1.6380 1.6380
Mo 4.9140 4.9140 4.9140
Os 3.2760 3.2760 3.2760
```

Space-group type: Fm-3m (225)
Uncorrected energy in eV/atom: -7.7011
DFT formation energy in eV per atom: 0.942
Energy above the most stable polymorph in this dataset in eV per formula unit: 1.28



This record from the Alexandria database describes Ba3Ac2PuTe6 after structural relaxation. The functional is PBE.

Cell and atoms, written as extended XYZ:
```
12
Lattice="10.5459 -2.3925 0.0000 10.5459 2.3925 0.0000 -2.4073 0.0000 9.3875" Properties=species:S:1:pos:R:3 pbc="T T T"
Ba 0.0000 0.0000 0.0000
Ba 5.4059 0.0000 6.2480
Ba 13.2786 0.0000 3.1394
Ac 6.6726 0.0000 1.5974
Ac 12.0119 0.0000 7.7901
Pu -1.2036 0.0000 4.6937
Te 1.9498 0.0000 5.5137
Te 3.4120 0.0000 0.7144
Te 9.8645 0.0000 2.5326
Te 8.8200 0.0000 6.8549
Te 15.2725 0.0000 8.6730
Te 16.7347 0.0000 3.8738
```

Space-group type: C2/m (12)
Uncorrected energy in eV/atom: -5.4791
Formation energy (no corrections) in eV per atom: -1.55



This record from the Alexandria database describes TbNdDy3In after structural relaxation. The functional is PBE.

Cell and atoms, written as extended XYZ:
```
12
Lattice="10.6478 -2.6290 0.0000 10.6478 2.6290 0.0000 -1.1685 0.0000 6.8493" Properties=species:S:1:pos:R:3 pbc="T T T"
Tb 3.9950 0.0000 0.4106
Tb 16.1321 0.0000 6.4387
Nd 8.0825 0.0000 5.7683
Nd 12.0446 0.0000 1.0810
Dy -0.2040 0.0000 5.3254
Dy 4.7198 0.0000 4.4049
Dy 7.2699 0.0000 1.9226
Dy 12.8572 0.0000 4.9267
Dy 15.4073 0.0000 2.4444
Dy 20.3311 0.0000 1.5239
In 1.9682 0.0000 2.9704
In 18.1589 0.0000 3.8789
```

Space-group type: C2/m (12)
Uncorrected energy in eV/atom: -4.4040
DFT formation energy in eV per atom: -0.080



This record from the Alexandria database describes CsK3Mo after structural relaxation. The functional is PBE.

Cell and atoms, written as extended XYZ:
```
5
Lattice="7.1270 0.0000 0.0000 0.0000 7.1270 0.0000 0.0000 0.0000 7.1270" Properties=species:S:1:pos:R:3 pbc="T T T"
Cs 0.0000 0.0000 0.0000
K 0.0000 3.5635 3.5635
K 3.5635 0.0000 3.5635
K 3.5635 3.5635 0.0000
Mo 3.5635 3.5635 3.5635
```

Space-group type: Pm-3m (221)
Uncorrected energy in eV/atom: -2.0319
DFT formation energy in eV per atom: 0.964
Energy above the most stable polymorph in this dataset in eV per formula unit: 0.00



This record from the Alexandria database describes La2ZrBr after structural relaxation. The functional is PBE.

Cell and atoms, written as extended XYZ:
```
4
Lattice="1.7876 1.0321 10.7063 -1.7876 1.0321 10.7063 0.0000 -2.0642 10.7063" Properties=species:S:1:pos:R:3 pbc="T T T"
La 0.0000 0.0000 0.0000
La 0.0000 0.0000 7.5554
Zr 0.0000 0.0000 24.0913
Br 0.0000 0.0000 15.3756
```

Space-group type: R3m (160)
Uncorrected energy in eV/atom: -5.3318
Formation energy (no corrections) in eV per atom: -0.31
Energy above the most stable polymorph in this dataset in eV per formula unit: 0.60



This record from the Alexandria database describes BaY2P after structural relaxation. The functional is PBE.

Cell and atoms, written as extended XYZ:
```
4
Lattice="3.8874 0.0000 0.0000 0.0000 3.8874 0.0000 0.0000 0.0000 8.5280" Properties=species:S:1:pos:R:3 pbc="T T T"
Ba 0.0000 0.0000 0.0000
Y 0.0000 0.0000 3.3127
Y 1.9437 1.9437 5.4602
P 1.9437 1.9437 2.5691
```

Space-group type: P4mm (99)
Uncorrected energy in eV/atom: -5.6001
DFT formation energy in eV per atom: -0.535



This record from the Alexandria database describes Th3Sc2 after structural relaxation. The functional is PBE.

Cell and atoms, written as extended XYZ:
```
10
Lattice="0.0000 12.5801 1.7737 6.6389 0.0000 1.7737 6.6389 12.5801 0.0000" Properties=species:S:1:pos:R:3 pbc="T T T"
Th 0.0000 0.0000 0.0000
Th 3.3194 6.2901 0.8869
Th 8.2911 15.0733 1.6408
Th 4.9867 10.0870 1.6408
Th 11.6105 16.3770 2.5277
Th 8.3061 21.3634 2.5277
Sc 9.1625 11.6146 1.8705
Sc 12.4820 19.8357 2.7574
Sc 4.1152 13.5457 1.8705
Sc 7.4346 17.9047 2.7574
```

Space-group type: Fdd2 (43)
Uncorrected energy in eV/atom: -6.7900
DFT formation energy in eV per atom: 0.194
Energy above the most stable polymorph in this dataset in eV per formula unit: 0.00



This record from the Alexandria database describes BaTcTe after structural relaxation. The functional is PBE.

Cell and atoms, written as extended XYZ:
```
3
Lattice="4.5382 0.0000 0.0000 -2.2691 3.9302 0.0000 0.0000 0.0000 5.1048" Properties=species:S:1:pos:R:3 pbc="T T T"
Ba 0.0000 0.0000 0.0000
Tc 2.2691 1.3101 2.5524
Te 0.0000 2.6201 2.5524
```

Space-group type: P-6m2 (187)
Uncorrected energy in eV/atom: -5.2203
Formation energy (no corrections) in eV per atom: -0.08
Energy above the most stable polymorph in this dataset in eV per formula unit: 0.80



This record from the Alexandria database describes CaHg5S5 after structural relaxation. The functional is PBE.

Cell and atoms, written as extended XYZ:
```
11
Lattice="6.6294 -2.8438 0.0000 6.6294 2.8438 0.0000 -3.1306 0.0000 7.4206" Properties=species:S:1:pos:R:3 pbc="T T T"
Ca 0.0000 0.0000 0.0000
Hg -1.5653 0.0000 3.7103
Hg 2.0964 0.0000 5.0261
Hg 4.1539 0.0000 1.3015
Hg 5.9743 0.0000 6.1191
Hg 8.0318 0.0000 2.3944
S -0.7351 0.0000 5.9284
S 1.6448 0.0000 2.3369
S 6.6294 0.0000 0.0000
S 8.4834 0.0000 5.0837
S 10.8633 0.0000 1.4922
```

Space-group type: C2/m (12)
Uncorrected energy in eV/atom: -2.5103
Formation energy (no corrections) in eV per atom: -0.31



This record from the Alexandria database describes PrY2Pb9 after structural relaxation. The functional is PBE.

Cell and atoms, written as extended XYZ:
```
12
Lattice="4.9146 0.0000 0.0000 0.0000 4.9146 0.0000 0.0000 0.0000 14.6813" Properties=species:S:1:pos:R:3 pbc="T T T"
Pr 0.0000 0.0000 0.0000
Y 0.0000 0.0000 4.9063
Y 0.0000 0.0000 9.7750
Pb 0.0000 2.4573 2.5037
Pb 0.0000 2.4573 7.3407
Pb 0.0000 2.4573 12.1777
Pb 2.4573 0.0000 2.5037
Pb 2.4573 0.0000 7.3407
Pb 2.4573 0.0000 12.1777
Pb 2.4573 2.4573 0.0000
Pb 2.4573 2.4573 4.9221
Pb 2.4573 2.4573 9.7593
```

Space-group type: P4/mmm (123)
Uncorrected energy in eV/atom: -4.5797
DFT formation energy in eV per atom: -0.323



This record from the Alexandria database describes LaCoGe after structural relaxation. The functional is PBE.

Cell and atoms, written as extended XYZ:
```
6
Lattice="4.2026 0.0000 0.0000 0.0000 4.2026 0.0000 0.0000 0.0000 7.0628" Properties=species:S:1:pos:R:3 pbc="T T T"
La 1.0506 1.0506 1.3637
La 3.1519 3.1519 5.6991
Co 1.0506 3.1519 3.5314
Co 3.1519 1.0506 3.5314
Ge 1.0506 1.0506 4.7704
Ge 3.1519 3.1519 2.2924
```

Space-group type: P4/nmm (129)
Uncorrected energy in eV/atom: -6.1701
DFT formation energy in eV per atom: -0.620



This record from the Alexandria database describes Er2ScNi9 after structural relaxation. The functional is PBE.

Cell and atoms, written as extended XYZ:
```
24
Lattice="4.8936 0.0000 0.0000 -2.4468 4.2380 0.0000 0.0000 0.0000 16.1210" Properties=species:S:1:pos:R:3 pbc="T T T"
Er 0.0000 2.8253 0.7031
Er 0.0000 2.8253 7.3574
Er 2.4468 1.4127 8.7636
Er 2.4468 1.4127 15.4179
Sc 0.0000 2.8253 4.0302
Sc 2.4468 1.4127 12.0907
Ni 0.0000 0.0000 0.0000
Ni 0.0000 0.0000 4.0302
Ni 0.0000 0.0000 8.0605
Ni 0.0000 0.0000 12.0907
Ni 0.0000 1.4174 10.1113
Ni 0.0000 1.4174 14.0702
Ni -1.2192 3.5292 10.1113
Ni -1.2192 3.5292 14.0702
Ni 0.0000 2.8253 12.0907
Ni 1.2275 0.7087 2.0508
Ni 1.2275 0.7087 6.0097
Ni 1.2192 3.5292 10.1113
Ni 1.2192 3.5292 14.0702
Ni 2.4468 1.4127 4.0302
Ni 3.6660 0.7087 2.0508
Ni 3.6660 0.7087 6.0097
Ni 2.4468 2.8205 2.0508
Ni 2.4468 2.8205 6.0097
```

Space-group type: P6_3/mmc (194)
Uncorrected energy in eV/atom: -6.0310
DFT formation energy in eV per atom: -0.407



This record from the Alexandria database describes CoSb4As after structural relaxation. The functional is PBE.

Cell and atoms, written as extended XYZ:
```
6
Lattice="0.0000 4.3068 4.3068 4.3068 0.0000 4.3068 4.3068 4.3068 0.0000" Properties=species:S:1:pos:R:3 pbc="T T T"
Co 0.0000 0.0000 0.0000
Sb 5.3838 3.2298 3.2298
Sb 3.2298 5.3838 3.2298
Sb 3.2298 3.2298 5.3838
Sb 5.3838 5.3838 5.3838
As 2.1534 2.1534 2.1534
```

Space-group type: F-43m (216)
Uncorrected energy in eV/atom: -3.7708
Formation energy (no corrections) in eV per atom: 0.94



This record from the Alexandria database describes ZnGaPdRu after structural relaxation. The functional is PBE.

Cell and atoms, written as extended XYZ:
```
4
Lattice="0.0000 3.0442 3.0442 3.0442 0.0000 3.0442 3.0442 3.0442 0.0000" Properties=species:S:1:pos:R:3 pbc="T T T"
Zn 0.0000 0.0000 0.0000
Ga 3.0442 3.0442 3.0442
Pd 1.5221 1.5221 1.5221
Ru 4.5663 4.5663 4.5663
```

Space-group type: F-43m (216)
Uncorrected energy in eV/atom: -5.0870
DFT formation energy in eV per atom: -0.395
Energy above the most stable polymorph in this dataset in eV per formula unit: 0.09



This record from the Alexandria database describes Pa2SbO after structural relaxation. The functional is PBE.

Cell and atoms, written as extended XYZ:
```
4
Lattice="3.3475 0.0000 0.0000 0.0000 3.3475 0.0000 0.0000 0.0000 7.2564" Properties=species:S:1:pos:R:3 pbc="T T T"
Pa 0.0000 0.0000 1.5254
Pa 0.0000 0.0000 5.7309
Sb 1.6738 1.6738 3.6282
O 1.6738 1.6738 0.0000
```

Space-group type: P4/mmm (123)
Uncorrected energy in eV/atom: -7.7446
Formation energy (no corrections) in eV per atom: -0.73
Energy above the most stable polymorph in this dataset in eV per formula unit: 2.47